An optimized crystal structure of Ti3NbTc2, computed with PBE.

The crystal system is tetragonal. Its density of states at the Fermi level is 1.057 states/eV per atom. As for the formation energy: -0.342 eV per atom. The total energy is -9.423 eV/atom.

It has space group P4/mmm (No. 123), with a = 3.112 Å, b = 3.112 Å, c = 9.842 Å, α = 90.00°, β = 90.00° and γ = 90.00°. The asymmetric unit holds Ti at (0.000, 0.000, 0.000), Ti at (0.000, 0.000, 0.307), Nb at (0.500, 0.500, 0.500) and Tc at (0.500, 0.500, 0.160).


An optimized crystal structure of SrMnTe2, computed with PBE.

For the formation energy from raw total energies, the calculation gives -0.06 eV/atom. The crystal system is cubic. Its density of states at the Fermi level is 0.449 states/eV per atom. For the energy above the most stable polymorph in this dataset, the calculation gives 771 meV per atom. The total energy is -4.341 eV/atom.

It has space group F-43m (No. 216), with a = 7.758 Å, b = 7.758 Å, c = 7.758 Å, α = 90.00°, β = 90.00° and γ = 90.00°. The asymmetric unit holds Sr at (0.000, 0.000, 0.000), Mn at (0.250, 0.250, 0.250), Te at (0.000, 0.000, 0.500) and Te at (0.250, 0.250, 0.750).


An optimized crystal structure of KTc2As, computed with PBE.

The crystal system is monoclinic. Its density of states at the Fermi level is 0.560 states/eV per atom. As for the formation energy: 0.329 eV per atom. The total energy is -6.290 eV/atom.

It has space group Pm (No. 6), with a = 3.078 Å, b = 4.147 Å, c = 7.149 Å, α = 90.00°, β = 99.39° and γ = 90.00°. The asymmetric unit holds K at (0.000, 0.000, 0.000), Tc at (0.357, 0.000, 0.480), Tc at (0.775, 0.500, 0.413) and As at (0.376, 0.500, 0.694).


An optimized crystal structure of SbIrBr2, computed with PBE.

For the formation energy from raw total energies, the calculation gives 0.96 eV/atom. The crystal system is tetragonal. Its density of states at the Fermi level is 0.821 states/eV per atom. For the energy above the most stable polymorph in this dataset, the calculation gives 1251 meV per atom. The total energy is -3.123 eV/atom.

It has space group P4/mmm (No. 123), with a = 4.594 Å, b = 4.594 Å, c = 4.120 Å, α = 90.00°, β = 90.00° and γ = 90.00°. The asymmetric unit holds Sb at (0.000, 0.000, 0.000), Ir at (0.500, 0.500, 0.000) and Br at (0.000, 0.500, 0.500).


An optimized crystal structure of Ca3ErAl8, computed with PBE.

The crystal system is trigonal. Its density of states at the Fermi level is 0.420 states/eV per atom. As for the formation energy: -0.367 eV per atom. For the energy above the most stable polymorph in this dataset, the calculation gives 0 meV per atom. The total energy is -3.743 eV/atom.

It has space group R3m (No. 160, hexagonal axes), with a = 5.6130 Å, b = 5.6130 Å, c = 27.6731 Å, α = 90.00°, β = 90.00° and γ = 120.00°. The asymmetric unit holds Ca at (0.0000, 0.0000, 0.0000), Ca at (0.0000, 0.0000, 0.1253), Ca at (0.0000, 0.0000, 0.6253), Er at (0.0000, 0.0000, 0.4999), Al at (0.0000, 0.0000, 0.3127), Al at (0.0000, 0.0000, 0.8128), Al at (0.0021, 0.5011, 0.0638) and Al at (0.1671, 0.3343, 0.8947).


An optimized crystal structure of ScTlSi2H, computed with PBE.

The crystal system is tetragonal. Its density of states at the Fermi level is 1.055 states/eV per atom. The total energy is -3.051 eV/atom.

It has space group P4/mmm (No. 123), with a = 5.091 Å, b = 5.091 Å, c = 5.609 Å, α = 90.00°, β = 90.00° and γ = 90.00°. The asymmetric unit holds Sc at (0.000, 0.000, 0.000), Tl at (0.000, 0.000, 0.500), Si at (0.000, 0.500, 0.500) and H at (0.500, 0.500, 0.000).


An optimized crystal structure of TmPbBr, computed with PBE.

For the formation energy from raw total energies, the calculation gives -0.73 eV/atom. The crystal system is tetragonal. Its density of states at the Fermi level is 0.528 states/eV per atom. The total energy is -4.015 eV/atom.

It has space group P4_2/mmc (No. 131), with a = 9.426 Å, b = 9.426 Å, c = 5.872 Å, α = 90.00°, β = 90.00° and γ = 90.00°. The asymmetric unit holds Tm at (0.000, 0.291, 0.000), Pb at (0.000, 0.169, 0.500) and Br at (0.206, 0.500, 0.000).


An optimized crystal structure of InSi2Br, computed with PBE.

For the formation energy from raw total energies, the calculation gives 0.24 eV/atom. The crystal system is monoclinic. Its density of states at the Fermi level is 0.373 states/eV per atom. For the energy above the most stable polymorph in this dataset, the calculation gives 224 meV per atom. The total energy is -3.575 eV/atom.

It has space group C2/m (No. 12), with a = 10.749 Å, b = 3.741 Å, c = 7.439 Å, α = 90.00°, β = 124.86° and γ = 90.00°. The asymmetric unit holds In at (0.000, 0.000, 0.000), Si at (0.168, 0.500, 0.924) and Br at (0.000, 0.500, 0.500).